PaInFeCo after structural relaxation, computed with PBE.

Cell: 4.5937 4.5937 4.5937 Å, 60.00 60.00 60.00°
Last column: nearest neighbours and their distance in Å.
Fractional coordinates of all 4 atoms:
Fe: 0.2500 0.2500 0.2500  4 In 2.81, 4 Pa 2.81
In: 0.0000 0.0000 0.0000  4 Fe 2.81, 4 Co 2.81
Co: 0.7500 0.7500 0.7500  4 In 2.81, 4 Pa 2.81
Pa: 0.5000 0.5000 0.5000  4 Fe 2.81, 4 Co 2.81

Results
Energy relative to the elements, eV/atom: -0.058
Total energy, eV for the cell shown: -28.04
Space-group type: F-43m
DOS(E_F), states/eV/cell: 3.51